The following is a GGA-PBE calculation of KAgHgSe2 after structural relaxation, from Alexandria via LeMat-Bulk.

Summary:
Total magnetization (μB per formula unit): 0.0
Density (g cm⁻³): 5.36
Density of states at the Fermi level (states/eV per cell): 1.38
Uncorrected formation energy (eV per atom): -0.512

Unit cell a=15.935 b=4.398 c=9.330 alpha=90.00 beta=106.83 gamma=90.00
Space group C2/m (No. 12)
One atom of each set of equivalent atoms:
K 0.211 0.000 0.214 (multiplicity 4)
Ag 0.120 0.000 0.552 (multiplicity 4)
Hg 0.034 0.500 0.748 (multiplicity 4)
Se 0.130 0.500 0.402 (multiplicity 4)
Se 0.132 0.000 0.842 (multiplicity 4)